[1]
A plane-wave DFT calculation with PBE was carried out for crystalline Ca2SnN at its relaxed geometry.

Cell: 3.5457 3.5457 9.2889 Å, 79.00 79.00 60.00°
Closest atoms and distances in Å follow each position.
Fractional positions:
1 Ca 0.8797 0.8797 0.3610  3 N 2.40
2 Ca 0.1203 0.1203 0.6390  3 N 2.40
3 N 0.5000 0.5000 0.5000  6 Ca 2.40
4 Sn 0.0000 0.0000 0.0000  2 Ca 3.27, 6 Sn 3.55

Calculated values
ρ (g/cm³): 3.583
E_form (uncorrected) (eV per atom): -0.59
Symmetry: No. 166

***

[2]
A plane-wave DFT calculation with PBE was carried out for crystalline CaSnN at its relaxed geometry.

Cell: 3.3622 3.3625 5.5541 Å, 90.00 90.27 90.00°
Closest atoms and distances in Å follow each position.
Fractional positions:
1 Ca 0.9266 0.5000 0.0434  4 N 2.44
2 N 0.4272 0.0000 0.1429  1 Sn 2.04
3 Sn 0.4306 0.0000 0.5108  1 N 2.04

Calculated values
ρ (g/cm³): 4.570
E_form (uncorrected) (eV per atom): -0.48
Symmetry: No. 6

***

[3]
A plane-wave DFT calculation with PBE was carried out for crystalline CaSnN at its relaxed geometry.

Cell: 5.9984 3.5334 5.5104 Å, 90.00 90.00 90.00°
Closest atoms and distances in Å follow each position.
Fractional positions:
1 N 0.0000 0.0000 0.0000  2 Sn 2.18
2 N 0.5000 0.0000 0.0000  2 Sn 2.18
3 Ca 0.7500 0.5000 0.1865  4 N 2.53
4 Ca 0.2500 0.5000 0.8135  4 N 2.53
5 Sn 0.2500 0.0000 0.2864  2 N 2.18
6 Sn 0.7500 0.0000 0.7136  2 N 2.18

Calculated values
ρ (g/cm³): 4.914
E_form (uncorrected) (eV per atom): -0.51
Symmetry: No. 51

***

[4]
A plane-wave DFT calculation with PBE was carried out for crystalline CaSnN2 at its relaxed geometry.

Cell: 3.2962 3.2962 6.0851 Å, 74.29 74.29 60.00°
Closest atoms and distances in Å follow each position.
Fractional positions:
1 Ca 0.4964 0.4964 0.5108  6 N 2.46-2.57
2 N 0.2626 0.2626 0.2122  3 Sn 2.28
3 N 0.0731 0.0731 0.7808  3 Sn 2.27, 3 Ca 2.46
4 Sn 0.6679 0.6679 0.9963  6 N 2.27-2.28

Calculated values
ρ (g/cm³): 5.704
E_form (uncorrected) (eV per atom): -0.33
Symmetry: No. 160

***

[5]
A plane-wave DFT calculation with PBE was carried out for crystalline CaSnN at its relaxed geometry.

Cell: 6.8662 3.3975 5.3659 Å, 90.00 90.00 90.00°
Closest atoms and distances in Å follow each position.
Fractional positions:
1 Ca 0.2716 0.0000 0.0604  3 N 2.34-2.38
2 Ca 0.7284 0.0000 0.0604  3 N 2.34-2.38
3 Sn 0.0000 0.5000 0.5676  2 N 2.15
4 Sn 0.5000 0.5000 0.5602  1 N 2.11
5 N 0.0000 0.0000 0.3229  2 Sn 2.15, 2 Ca 2.34
6 N 0.5000 0.5000 0.1669  1 Sn 2.11

Calculated values
ρ (g/cm³): 4.584
E_form (uncorrected) (eV per atom): -0.47
Symmetry: No. 25

***

[6]
A plane-wave DFT calculation with PBE was carried out for crystalline CaSnN3 at its relaxed geometry.

Cell: 4.4567 4.4567 4.4567 Å, 90.00 90.00 90.00°
Closest atoms and distances in Å follow each position.
Fractional positions:
1 N 0.0000 0.5000 0.0000  2 Ca 2.23
2 N 0.0000 0.0000 0.5000  2 Ca 2.23
3 N 0.5000 0.0000 0.0000  2 Ca 2.23
4 Ca 0.0000 0.0000 0.0000  6 N 2.23
5 Sn 0.5000 0.5000 0.5000  12 N 3.15

Calculated values
ρ (g/cm³): 3.767
E_form (uncorrected) (eV per atom): 1.69
Symmetry: No. 221

***

> Among the records above, which one has the highest E_form (uncorrected)?

CaSnN3

***

> What is the formula in the fourth record?

CaSnN2

***

> Which formula does entry 1 have?

Ca2SnN